(1)
The following is a PBE-GGA calculation of a relaxed structure of RbReBiPd2, from the Alexandria database.

Output
symmetry = P4/mmm, No. 123
magnetic moment = 0.000 μB/f.u.
offset from the most stable computed form = 0 meV per atom
Fermi-level density of states = 3.6 states/eV/cell
energy of formation = 0.675 eV/atom

a = 5.101 Å, b = 5.239 Å, c = 5.101 Å
α = 90.00°, β = 90.00°, γ = 90.00°
Fractional coordinates of all 5 atoms:
Pd: 0.500 0.000 0.000
Re: 0.000 0.000 0.000
Bi: 0.000 0.500 0.000
Rb: 0.500 0.500 0.500
Pd: 0.000 0.000 0.500



(2)
The following is a PBE-GGA calculation of a relaxed structure of PuSi2S6, from the Alexandria database.

Output
symmetry = C2/c, No. 15
magnetic moment = 3.994 μB/f.u.
Fermi-level density of states = 19.1 states/eV/cell
ΔE_f (raw) = -771 meV/atom

a = 6.193 Å, b = 8.420 Å, c = 8.420 Å
α = 86.92°, β = 83.62°, γ = 83.62°
Fractional coordinates of all 18 atoms:
Si: 0.185 0.626 0.774
S: 0.658 0.587 0.128
S: 0.620 0.293 0.437
S: 0.350 0.043 0.199
S: 0.158 0.128 0.587
Pu: 0.750 0.882 0.118
Si: 0.815 0.374 0.226
S: 0.650 0.957 0.801
S: 0.380 0.707 0.563
S: 0.150 0.801 0.957
S: 0.880 0.563 0.707
S: 0.850 0.199 0.043
Pu: 0.250 0.118 0.882
S: 0.120 0.437 0.293
Si: 0.685 0.774 0.626
Si: 0.315 0.226 0.374
S: 0.342 0.413 0.872
S: 0.842 0.872 0.413



(3)
The following is a PBE-GGA calculation of a relaxed structure of Tl2Cd3Hg5, from the Alexandria database.

Output
symmetry = P-4m2, No. 115
magnetic moment = 0.000 μB/f.u.
offset from the most stable computed form = 23 meV per atom
Fermi-level density of states = 3.4 states/eV/cell
energy of formation = 0.028 eV/atom

a = 4.524 Å, b = 4.524 Å, c = 13.793 Å
α = 90.00°, β = 90.00°, γ = 90.00°
Fractional coordinates of all 10 atoms:
Cd: 0.000 0.500 0.359
Hg: 0.500 0.500 0.500
Tl: 0.500 0.000 0.273
Hg: 0.500 0.000 0.848
Hg: 0.000 0.500 0.152
Hg: 0.000 0.000 0.000
Tl: 0.000 0.500 0.727
Cd: 0.000 0.000 0.500
Cd: 0.500 0.000 0.641
Hg: 0.500 0.500 0.000



(4)
The following is a PBE-GGA calculation of a relaxed structure of BeAgSe, from the Alexandria database.

Output
symmetry = P3m1, No. 156
magnetic moment = 0.000 μB/f.u.
offset from the most stable computed form = 144 meV per atom
Fermi-level density of states = 1.1 states/eV/cell
ΔE_f (raw) = -110 meV/atom

a = 3.496 Å, b = 3.496 Å, c = 5.419 Å
α = 90.00°, β = 90.00°, γ = 120.00°
Fractional coordinates of all 3 atoms:
Ag: 0.000 0.000 0.953
Be: 0.333 0.667 0.305
Se: 0.000 0.000 0.457



(5)
The following is a PBE-GGA calculation of a relaxed structure of Pa2Co4CuP3, from the Alexandria database.

Output
symmetry = P-4m2, No. 115
magnetic moment = 1.275 μB/f.u.
Fermi-level density of states = 4.9 states/eV/cell
energy of formation = -0.847 eV/atom

a = 3.843 Å, b = 3.843 Å, c = 9.536 Å
α = 90.00°, β = 90.00°, γ = 90.00°
Fractional coordinates of all 10 atoms:
Cu: 0.500 0.500 0.500
P: 0.000 0.500 0.127
Pa: 0.000 0.500 0.749
Co: 0.500 0.500 0.000
Co: 0.000 0.500 0.358
Pa: 0.500 0.000 0.251
Co: 0.500 0.000 0.642
Co: 0.000 0.000 0.000
P: 0.000 0.000 0.500
P: 0.500 0.000 0.873



(6)
The following is a PBE-GGA calculation of a relaxed structure of Cs3Ge2Cl8, from the Alexandria database.

Output
symmetry = R-3m, No. 166
magnetic moment = 0.187 μB/f.u.
Fermi-level density of states = 8.5 states/eV/cell
ΔE_f (raw) = -1322 meV/atom

a = 7.875 Å, b = 7.875 Å, c = 10.305 Å
α = 67.54°, β = 67.54°, γ = 60.00°
Fractional coordinates of all 13 atoms:
Ge: 0.577 0.577 0.269
Cl: 0.742 0.205 0.312
Cs: 0.000 0.000 0.000
Cl: 0.258 0.795 0.688
Cl: 0.661 0.661 0.018
Cl: 0.258 0.258 0.688
Cs: 0.790 0.790 0.631
Cl: 0.795 0.258 0.688
Cl: 0.339 0.339 0.982
Cl: 0.742 0.742 0.312
Cs: 0.210 0.210 0.369
Ge: 0.423 0.423 0.731
Cl: 0.205 0.742 0.312



(7)
The following is a PBE-GGA calculation of a relaxed structure of Rb2HgCl2, from the Alexandria database.

Output
symmetry = P4/mbm, No. 127
magnetic moment = 0.000 μB/f.u.
offset from the most stable computed form = 0 meV per atom
Fermi-level density of states = 0.0 states/eV/cell
ΔE_f (raw) = -1456 meV/atom

a = 9.278 Å, b = 9.278 Å, c = 4.144 Å
α = 90.00°, β = 90.00°, γ = 90.00°
Fractional coordinates of all 10 atoms:
Rb: 0.651 0.849 0.500
Hg: 0.000 0.000 0.000
Cl: 0.647 0.147 0.000
Cl: 0.853 0.647 0.000
Rb: 0.151 0.651 0.500
Hg: 0.500 0.500 0.000
Rb: 0.849 0.349 0.500
Rb: 0.349 0.151 0.500
Cl: 0.353 0.853 0.000
Cl: 0.147 0.353 0.000



(8)
The following is a PBE-GGA calculation of a relaxed structure of CrIn2Pb, from the Alexandria database.

Output
symmetry = Pmmm, No. 47
magnetic moment = 4.226 μB/f.u.
Fermi-level density of states = 2.1 states/eV/cell
energy of formation = 0.380 eV/atom

a = 3.562 Å, b = 5.323 Å, c = 5.244 Å
α = 90.00°, β = 90.00°, γ = 90.00°
Fractional coordinates of all 4 atoms:
In: 0.500 0.500 0.000
In: 0.000 0.000 0.000
Pb: 0.500 0.000 0.500
Cr: 0.000 0.500 0.500



(9)
The following is a PBE-GGA calculation of a relaxed structure of CrAu4Cl, from the Alexandria database.

Output
symmetry = F-43m, No. 216
magnetic moment = 4.789 μB/f.u.
Fermi-level density of states = 2.4 states/eV/cell
ΔE_f (raw) = 223 meV/atom

a = 5.552 Å, b = 5.552 Å, c = 5.552 Å
α = 60.00°, β = 60.00°, γ = 60.00°
Fractional coordinates of all 6 atoms:
Au: 0.375 0.375 0.875
Cl: 0.750 0.750 0.750
Au: 0.875 0.375 0.375
Cr: 0.000 0.000 0.000
Au: 0.375 0.875 0.375
Au: 0.375 0.375 0.375



(10)
The following is a PBE-GGA calculation of a relaxed structure of Tm7Cu2Sn2, from the Alexandria database.

Output
symmetry = Cmmm, No. 65
magnetic moment = 0.000 μB/f.u.
Fermi-level density of states = 9.5 states/eV/cell
energy of formation = -0.163 eV/atom

a = 6.791 Å, b = 6.844 Å, c = 6.791 Å
α = 90.00°, β = 107.22°, γ = 90.00°
Fractional coordinates of all 11 atoms:
Tm: 0.500 0.237 0.500
Tm: 0.000 0.253 0.500
Tm: 0.000 0.000 0.000
Tm: 0.500 0.253 0.000
Tm: 0.500 0.747 0.000
Cu: 0.290 0.000 0.710
Cu: 0.710 0.000 0.290
Sn: 0.181 0.500 0.181
Tm: 0.500 0.763 0.500
Sn: 0.819 0.500 0.819
Tm: 0.000 0.747 0.500



(11)
The following is a PBE-GGA calculation of a relaxed structure of Sc3Tl2Ga2, from the Alexandria database.

Output
symmetry = Cmmm, No. 65
magnetic moment = 0.246 μB/f.u.
Fermi-level density of states = 4.3 states/eV/cell
energy of formation = -0.401 eV/atom

a = 4.157 Å, b = 3.366 Å, c = 10.811 Å
α = 90.00°, β = 78.92°, γ = 90.00°
Fractional coordinates of all 7 atoms:
Tl: 0.579 0.500 0.843
Ga: 0.716 0.500 0.568
Sc: 0.000 0.000 0.000
Tl: 0.421 0.500 0.157
Sc: 0.834 0.000 0.333
Sc: 0.166 0.000 0.667
Ga: 0.284 0.500 0.432



(12)
The following is a PBE-GGA calculation of a relaxed structure of TaAl2W2, from the Alexandria database.

Output
symmetry = P4/mbm, No. 127
magnetic moment = 0.000 μB/f.u.
Fermi-level density of states = 7.3 states/eV/cell
energy of formation = 0.040 eV/atom

a = 6.877 Å, b = 6.877 Å, c = 3.357 Å
α = 90.00°, β = 90.00°, γ = 90.00°
Fractional coordinates of all 10 atoms:
Al: 0.127 0.373 0.000
W: 0.328 0.172 0.500
Al: 0.873 0.627 0.000
Al: 0.627 0.127 0.000
W: 0.828 0.328 0.500
Ta: 0.500 0.500 0.000
Al: 0.373 0.873 0.000
Ta: 0.000 0.000 0.000
W: 0.672 0.828 0.500
W: 0.172 0.672 0.500